Record 1
This record from Alexandria describes Sc4P2H after structural relaxation. The functional is PBE.

abc: 3.949 3.949 7.740
angles: 75.22 75.22 90.00
Fractional positions:
H1 0.000 0.000 0.000
P1 0.635 0.635 0.730
P2 0.365 0.365 0.270
Sc1 0.820 0.820 0.359
Sc2 0.500 0.000 0.000
Sc3 0.180 0.180 0.641
Sc4 0.000 0.500 0.000

## Properties
Its raw total energy is -46.3 eV for the cell shown.


Record 2
This record from Alexandria describes Sc4PH after structural relaxation. The functional is PBE.

abc: 6.734 6.734 6.735
angles: 104.84 104.84 119.19
Fractional positions:
Sc1 0.838 0.284 0.055
Sc2 0.716 0.162 0.446
Sc3 0.162 0.716 0.945
Sc4 0.716 0.770 0.055
Sc5 0.284 0.230 0.945
Sc6 0.230 0.284 0.446
Sc7 0.770 0.716 0.554
Sc8 0.284 0.838 0.554
H1 0.125 0.875 0.750
H2 0.875 0.125 0.250
P1 0.625 0.375 0.750
P2 0.375 0.625 0.250

## Properties
Its raw total energy is -75.8 eV for the cell shown.


Record 3
This record from Alexandria describes Sc3PH after structural relaxation. The functional is PBE.

abc: 4.240 4.240 4.240
angles: 90.00 90.00 90.00
Last column: magnetic moment on the atom in μB.
Fractional positions:
Sc1 0.000 0.000 0.500  0.04
Sc2 0.000 0.500 0.000  0.06
Sc3 0.500 0.000 0.000  0.07
P1 0.500 0.500 0.500  0.00
H1 0.000 0.000 0.000  0.00

## Properties
Its relative energy among the computed polymorphs is 222 meV per atom. Its raw total energy is -30.3 eV for the cell shown.


raw total energy of number 1 (Sc4P2H)? -46.3 eV for the cell shown


Number 2 is which compound? Sc4PH